(1)
This record from OQMD via LeMat-Bulk describes a relaxed structure of FeHgGeW. The functional is GGA-PBE.

```
FeHgGeW
1.0
0.000 3.175 3.175
3.175 0.000 3.175
3.175 3.175 0.000
Fe Hg Ge W
1 1 1 1
Direct
0.000 0.000 0.000
0.250 0.250 0.250
0.750 0.750 0.750
0.500 0.500 0.500
```

- Energy: -23.3 eV/cell
- Magnetization: 0.597 μB per atom

=====

(2)
This record from OQMD via LeMat-Bulk describes a relaxed structure of HoEr3C2S2. The functional is GGA-PBE.

```
HoEr3C2S2
1.0
3.669 0.000 0.000
-1.835 3.178 0.000
0.000 0.000 12.773
Ho Er C S
1 3 2 2
Direct
0.000 0.000 0.000
0.000 0.000 0.293
0.667 0.333 0.500
0.667 0.333 0.792
0.333 0.667 0.396
0.333 0.667 0.896
0.000 0.000 0.646
0.667 0.333 0.147
```

- Energy: -55.3 eV/cell
- Magnetization: 0.001 μB per atom